No. 1
## AsIr4Ru (PBE)

Data for a relaxed structure of AsIr4Ru.

Values from the calculation:
For the total energy, the calculation gives -7.49 eV per atom.

Unit cell a=5.1926 b=5.1926 c=5.1926 alpha=60.00 beta=60.00 gamma=60.00
Fractional positions:
As1 0.0000 0.0000 0.0000
Ir1 0.3752 0.3752 0.3752
Ir2 0.3752 0.3752 0.8743
Ir3 0.3752 0.8743 0.3752
Ir4 0.8743 0.3752 0.3752
Ru1 0.7500 0.7500 0.7500



No. 2
## Y2Tm6Sc (PBE)

Data for a relaxed structure of Y2Tm6Sc.

Values from the calculation:
The energy above the most stable polymorph in this dataset is 7.7 meV/atom. For the total energy, the calculation gives -4.94 eV per atom.

Unit cell a=6.0403 b=6.0403 c=8.4970 alpha=105.00 beta=105.00 gamma=69.95
Fractional positions:
Y1 0.2309 0.2309 0.4699
Y2 0.7691 0.7691 0.5301
Tm1 0.2055 0.6838 0.2894
Tm2 0.3162 0.7945 0.7106
Tm3 0.3358 0.3358 0.9118
Tm4 0.6642 0.6642 0.0882
Tm5 0.6838 0.2055 0.2894
Tm6 0.7945 0.3162 0.7106
Sc1 0.0000 0.0000 0.0000



No. 3
## MgCdHgAs (PBE)

Data for a relaxed structure of MgCdHgAs.

Values from the calculation:
For the total energy, the calculation gives -1.93 eV per atom.

Unit cell a=5.0007 b=5.0007 c=5.0007 alpha=60.00 beta=60.00 gamma=60.00
Fractional positions:
Mg1 0.0000 0.0000 0.0000
Cd1 0.5000 0.5000 0.5000
Hg1 0.2500 0.2500 0.2500
As1 0.7500 0.7500 0.7500